No. 1
Gd3Sc | PBE-GGA | optimized geometry

Values from the calculation:
Spin magnetization, μB per formula unit: 23.01
Distance to the lowest polymorph of the same formula, eV per atom: 0.081

Cell: 5.561 5.561 5.561 Å, 60.00 60.00 60.00°
Element x y z (fractional)
Sc (0.500, 0.500, 0.500)
Gd (0.000, 0.000, 0.000)
Gd (0.750, 0.750, 0.750)
Gd (0.250, 0.250, 0.250)

=====

No. 2
K3Tl2Au2 | PBE-GGA | optimized geometry

Values from the calculation:
Spin magnetization, μB per formula unit: 0.00

Cell: 6.986 8.651 15.962 Å, 90.00 90.00 90.00°
Element x y z (fractional)
K (0.093, 0.599, 0.108)
K (0.907, 0.401, 0.608)
K (0.907, 0.099, 0.392)
K (0.093, 0.901, 0.892)
K (0.907, 0.401, 0.892)
K (0.093, 0.599, 0.392)
K (0.093, 0.901, 0.608)
K (0.907, 0.099, 0.108)
K (0.334, 0.257, 0.250)
K (0.666, 0.743, 0.750)
K (0.666, 0.757, 0.250)
K (0.334, 0.243, 0.750)
Tl (0.602, 0.455, 0.090)
Tl (0.398, 0.545, 0.590)
Tl (0.398, 0.955, 0.410)
Tl (0.602, 0.045, 0.910)
Tl (0.398, 0.545, 0.910)
Tl (0.602, 0.455, 0.410)
Tl (0.602, 0.045, 0.590)
Tl (0.398, 0.955, 0.090)
Au (0.332, 0.250, 0.000)
Au (0.668, 0.750, 0.500)
Au (0.668, 0.750, 0.000)
Au (0.332, 0.250, 0.500)
Au (0.810, 0.387, 0.250)
Au (0.190, 0.613, 0.750)
Au (0.190, 0.887, 0.250)
Au (0.810, 0.113, 0.750)

=====

Number 1: density of states at the Fermi level 8.111 states/eV per cell, total DFT energy (no corrections) -12.032 eV/atom, DFT formation energy 2.6 kcal/mol of atoms. Number 2: density of states at the Fermi level 12.993 states/eV per cell, total DFT energy (no corrections) -2.291 eV/atom, DFT formation energy -4.8 kcal/mol of atoms.